Record 1
VASP calculation (GGA-PBE) on an optimized crystal structure of NiP2Cl.

The space group is Imm2 (No. 44) and the conventional cell measures 3.387, 3.406 and 12.076 Å, with angles of 90.00, 90.00 and 90.00 degrees. The distinct sites, in fractional coordinates, are Ni at (0.000, 0.000, 0.000), P at (0.000, 0.000, 0.481), P at (0.000, 0.500, 0.362) and Cl at (0.000, 0.500, 0.674).

The volume comes out at 17.412 Å³ per atom. The value obtained for the total moment is 0.000 μB/f.u. For the formation energy from raw total energies, the calculation gives -0.0227 eV per atom. The energy above the lowest structure with this stoichiometry is 0.76 eV per formula unit.



Record 2
VASP calculation (GGA-PBE) on an optimized crystal structure of Ac3LaTc2N6.

The space group is P-3m1 (No. 164) and the conventional cell measures 6.0994, 6.0994 and 7.2579 Å, with angles of 90.00, 90.00 and 120.00 degrees. The distinct sites, in fractional coordinates, are Ac at (0.0000, 0.0000, 0.0000), Ac at (0.3333, 0.6667, 0.7150), La at (0.0000, 0.0000, 0.5000), Tc at (0.3333, 0.6667, 0.1845) and N at (0.1705, 0.3410, 0.2725).

The volume comes out at 19.486 Å³ per atom. The value obtained for the total moment is 0.000 μB/f.u. For the formation energy from raw total energies, the calculation gives -0.6932 eV per atom.



Record 3
VASP calculation (GGA-PBE) on an optimized crystal structure of TlPH3.

The space group is Pm-3m (No. 221) and the conventional cell measures 4.043, 4.043 and 4.043 Å, with angles of 90.00, 90.00 and 90.00 degrees. The distinct sites, in fractional coordinates, are Tl at (0.000, 0.000, 0.000), P at (0.500, 0.500, 0.500) and H at (0.000, 0.000, 0.500).

The volume comes out at 13.214 Å³ per atom. The value obtained for the total moment is 2.316 μB/f.u. The energy above the lowest structure with this stoichiometry is 5.63 eV per formula unit.



Record 4
VASP calculation (GGA-PBE) on an optimized crystal structure of RbSeNO2.

The space group is P4/mmm (No. 123) and the conventional cell measures 4.098, 4.098 and 4.187 Å, with angles of 90.00, 90.00 and 90.00 degrees. The distinct sites, in fractional coordinates, are Rb at (0.000, 0.000, 0.000), Se at (0.500, 0.500, 0.500), N at (0.500, 0.500, 0.000) and O at (0.000, 0.500, 0.500).

The volume comes out at 14.066 Å³ per atom. The value obtained for the total moment is 1.669 μB/f.u. For the formation energy from raw total energies, the calculation gives 0.1831 eV per atom.